CrCu2O2 | Alexandria | PBE with a Hubbard U | relaxed; energy = -5.19 eV per atom; D(E_F) = 2.88 states/eV per cell; total magnetic moment = 0.80 μB per atom; polymorph energy (0 for the lowest one) = 96 meV/atom
1.0
-4.6477 4.5874 1.1182
-2.2568 -0.7800 -6.1801
-2.1322 -2.4247 1.0846
O Cr Cu
4 2 4
Direct
0.1895 0.3105 0.5000
0.3105 0.8105 0.5000
0.8105 0.6895 0.5000
0.6895 0.1895 0.5000
0.0000 0.0000 0.0000
0.5000 0.5000 0.0000
0.1350 0.3650 0.0000
0.3650 0.8650 0.0000
0.8650 0.6350 0.0000
0.6350 0.1350 0.0000